No. 1
# MoAs2Au

MoAs2Au after structural relaxation (PBE-GGA, Alexandria via LeMat-Bulk).

Cell: 4.465 4.465 3.370 Å, 90.00 90.00 90.00°
Fractional positions:
Mo1 0.000 0.500 0.500
Au1 0.500 0.000 0.500
As1 0.000 0.000 0.000
As2 0.500 0.500 0.000

## Properties
ΔH_f (0 K) (eV per atom): 0.256
ΔE to the lowest computed polymorph (kJ/mol of atoms): 21.6
Fermi-level density of states (states/eV/cell): 2.500
Magnetization (μB per formula unit): 0.0

No. 2
# Rb4Cu3Cl10

Rb4Cu3Cl10 after structural relaxation (PBE-GGA, Alexandria via LeMat-Bulk).

Cell: 4.915 4.915 18.205 Å, 97.76 97.76 90.00°
Fractional positions:
Rb1 0.568 0.568 0.135
Rb2 0.432 0.432 0.865
Rb3 0.300 0.300 0.599
Rb4 0.700 0.700 0.401
Cu1 0.137 0.137 0.275
Cu2 0.863 0.863 0.725
Cu3 0.000 0.000 0.000
Cl1 0.136 0.636 0.271
Cl2 0.068 0.068 0.136
Cl3 0.636 0.136 0.271
Cl4 0.864 0.364 0.729
Cl5 0.364 0.864 0.729
Cl6 0.932 0.932 0.864
Cl7 0.205 0.205 0.411
Cl8 0.795 0.795 0.589
Cl9 0.000 0.500 0.000
Cl10 0.500 0.000 0.000

## Properties
ΔE_f (raw) (eV per atom): -1.19
Fermi-level density of states (states/eV/cell): 6.569
Magnetization (μB per formula unit): 0.0

Look up the magnetization of the first one.
0.0 μB per formula unit

Among the records above, which one has the highest Fermi-level density of states?
Rb4Cu3Cl10

Which of these has the highest Fermi-level density of states?
Rb4Cu3Cl10

What is the magnetization in the first record?
0.0 μB per formula unit